Record 1
Compound: Nd2Mg3Hg4
Source: Alexandria via LeMat-Bulk
Functional: PBE-GGA
Structure: optimized geometry

Summary:
DOS(E_F) in states/eV per atom: 0.46
Total magnetic moment in μB per cell: 0.0
Formation energy in eV/atom: -0.374
Total DFT energy (no corrections) in eV/atom: -2.099

Cell lengths 5.0727, 5.0746, 10.0035 Å; angles 89.92, 89.97, 60.02 degrees
Sites, in units of the cell vectors:
Nd  0.3334  0.3337  0.7869
Nd  0.6666  0.6663  0.2131
Mg  0.3334  0.3329  0.4278
Mg  0.0000  0.0000  0.0000
Mg  0.6666  0.6671  0.5722
Hg  0.6666  0.6670  0.8986
Hg  0.0001  0.9990  0.3492
Hg  0.9999  0.0010  0.6508
Hg  0.3334  0.3330  0.1014

=====

Record 2
Compound: Nd2Mg5Hg4
Source: Alexandria via LeMat-Bulk
Functional: PBE-GGA
Structure: optimized geometry

Summary:
DOS(E_F) in states/eV per atom: 0.48
Total magnetic moment in μB per cell: 0.0
Formation energy in eV/atom: -0.224
Total DFT energy (no corrections) in eV/atom: -1.925

Cell lengths 6.0258, 5.7794, 9.9223 Å; angles 80.89, 72.32, 58.58 degrees
Sites, in units of the cell vectors:
Nd  0.8922  0.0000  0.2157
Nd  0.1078  0.0000  0.7843
Mg  0.5000  0.0000  0.0000
Mg  0.0000  0.5000  0.0000
Mg  0.5000  0.5000  0.0000
Mg  0.2500  0.5000  0.5000
Mg  0.7500  0.5000  0.5000
Hg  0.4708  0.3196  0.7388
Hg  0.5292  0.6804  0.2612
Hg  0.2096  0.3196  0.2612
Hg  0.7904  0.6804  0.7388

=====

Record 3
Compound: Nd4MgHg2
Source: Alexandria via LeMat-Bulk
Functional: PBE-GGA
Structure: optimized geometry

Summary:
DOS(E_F) in states/eV per atom: 1.73
Total magnetic moment in μB per cell: 0.0
Formation energy in eV/atom: -0.097
Total DFT energy (no corrections) in eV/atom: -3.135

Cell lengths 5.4118, 5.4118, 9.4893 Å; angles 73.43, 73.43, 60.00 degrees
Sites, in units of the cell vectors:
Nd  0.3739  0.3739  0.8782
Nd  0.2175  0.2175  0.3474
Nd  0.7825  0.7825  0.6526
Nd  0.6261  0.6261  0.1218
Mg  0.0000  0.0000  0.0000
Hg  0.1012  0.1012  0.6965
Hg  0.8988  0.8988  0.3035

=====

Record 4
Compound: NdMgHg
Source: Alexandria via LeMat-Bulk
Functional: PBE-GGA
Structure: optimized geometry

Summary:
DOS(E_F) in states/eV per atom: 1.91
Total magnetic moment in μB per cell: 0.5
Formation energy in eV/atom: -0.231
Total DFT energy (no corrections) in eV/atom: -2.453

Cell lengths 5.0094, 5.0094, 5.0094 Å; angles 60.00, 60.00, 60.00 degrees
Last column: magnetic moment on the atom in μB.
Sites, in units of the cell vectors:
Mg  0.5000  0.5000  0.5000  0.01
Nd  0.0000  0.0000  0.0000  0.12
Hg  0.2500  0.2500  0.2500  0.06

=====

Record 5
Compound: Nd7Mg2Hg2
Source: Alexandria via LeMat-Bulk
Functional: PBE-GGA
Structure: optimized geometry

Summary:
DOS(E_F) in states/eV per atom: 1.34
Total magnetic moment in μB per cell: 0.0
Formation energy in eV/atom: 0.050
Total DFT energy (no corrections) in eV/atom: -3.329

Cell lengths 6.9043, 8.4159, 6.9043 Å; angles 90.00, 112.31, 90.00 degrees
Sites, in units of the cell vectors:
Nd  0.0000  0.2882  0.5001
Nd  0.5001  0.7118  0.0000
Nd  0.0000  0.7118  0.4999
Nd  0.4999  0.2882  0.0000
Nd  0.0000  0.0000  0.0000
Nd  0.5000  0.7549  0.5000
Nd  0.5000  0.2451  0.5000
Mg  0.8215  0.5000  0.8215
Mg  0.1785  0.5000  0.1785
Hg  0.7160  0.0000  0.2840
Hg  0.2840  0.0000  0.7160

=====

Record 6
Compound: NdMg2Hg
Source: Alexandria via LeMat-Bulk
Functional: PBE-GGA
Structure: optimized geometry

Summary:
DOS(E_F) in states/eV per atom: 0.71
Total magnetic moment in μB per cell: 0.0
Formation energy in eV/atom: -0.233
Total DFT energy (no corrections) in eV/atom: -2.298

Cell lengths 4.9308, 4.5720, 4.5720 Å; angles 90.00, 90.00, 90.00 degrees
Sites, in units of the cell vectors:
Mg  0.0000  0.0000  0.5000
Mg  0.0000  0.5000  0.0000
Nd  0.5000  0.5000  0.5000
Hg  0.5000  0.0000  0.0000

=====

Record 7
Compound: NdMgHg4
Source: Alexandria via LeMat-Bulk
Functional: PBE-GGA
Structure: optimized geometry

Summary:
DOS(E_F) in states/eV per atom: 0.86
Total magnetic moment in μB per cell: 0.0
Formation energy in eV/atom: -0.095
Total DFT energy (no corrections) in eV/atom: -1.357

Cell lengths 5.9902, 5.9902, 5.9902 Å; angles 60.00, 60.00, 60.00 degrees
Sites, in units of the cell vectors:
Mg  0.0000  0.0000  0.0000
Nd  0.2500  0.2500  0.2500
Hg  0.6248  0.6248  0.1255
Hg  0.6248  0.1255  0.6248
Hg  0.6248  0.6248  0.6248
Hg  0.1255  0.6248  0.6248

=====

Record 8
Compound: Nd3Mg7Hg4
Source: Alexandria via LeMat-Bulk
Functional: PBE-GGA
Structure: optimized geometry

Summary:
DOS(E_F) in states/eV per atom: 0.83
Total magnetic moment in μB per cell: 0.0
Formation energy in eV/atom: -0.302
Total DFT energy (no corrections) in eV/atom: -2.207

Cell lengths 4.7162, 8.9664, 9.2223 Å; angles 69.78, 75.19, 74.75 degrees
Sites, in units of the cell vectors:
Nd  0.3034  0.1899  0.2032
Nd  0.6966  0.8101  0.7968
Nd  0.0000  0.5000  0.5000
Mg  0.3236  0.8349  0.5179
Mg  0.4931  0.2092  0.8047
Mg  0.8413  0.3906  0.9269
Mg  0.6764  0.1651  0.4821
Mg  0.1587  0.6094  0.0731
Mg  0.0000  0.0000  0.0000
Mg  0.5069  0.7908  0.1953
Hg  0.6554  0.4529  0.2363
Hg  0.3446  0.5471  0.7637
Hg  0.8788  0.9053  0.3370
Hg  0.1212  0.0947  0.6630

=====

Record 9
Compound: Nd3Mg2Hg3
Source: Alexandria via LeMat-Bulk
Functional: PBE-GGA
Structure: optimized geometry

Summary:
DOS(E_F) in states/eV per atom: 0.96
Total magnetic moment in μB per cell: 1.1
Formation energy in eV/atom: -0.324
Total DFT energy (no corrections) in eV/atom: -2.623

Cell lengths 3.8792, 5.3590, 10.9857 Å; angles 104.12, 100.17, 90.00 degrees
Last column: magnetic moment on the atom in μB.
Sites, in units of the cell vectors:
Nd  0.6262  0.6262  0.2524  0.14
Nd  0.3738  0.3738  0.7476  0.14
Nd  0.5000  0.0000  0.0000  0.24
Mg  0.7382  0.2382  0.4765  0.00
Mg  0.2618  0.7618  0.5235  0.00
Hg  0.1314  0.1314  0.2627  0.01
Hg  0.0000  0.5000  0.0000  0.02
Hg  0.8686  0.8686  0.7373  0.01

=====

Record 10
Compound: Nd3Mg2Hg3
Source: Alexandria via LeMat-Bulk
Functional: PBE-GGA
Structure: optimized geometry

Summary:
DOS(E_F) in states/eV per atom: 0.88
Total magnetic moment in μB per cell: 0.0
Formation energy in eV/atom: -0.373
Total DFT energy (no corrections) in eV/atom: -2.673

Cell lengths 6.0459, 9.1069, 9.1069 Å; angles 120.00, 90.00, 90.00 degrees
Sites, in units of the cell vectors:
Nd  0.7500  0.2614  0.0000
Nd  0.7500  0.7386  0.7386
Nd  0.7500  0.0000  0.2614
Nd  0.2500  0.7386  0.0000
Nd  0.2500  0.2614  0.2614
Nd  0.2500  0.0000  0.7386
Mg  0.0000  0.3333  0.6667
Mg  0.5000  0.6667  0.3333
Mg  0.0000  0.6667  0.3333
Mg  0.5000  0.3333  0.6667
Hg  0.7500  0.6064  0.0000
Hg  0.7500  0.3936  0.3936
Hg  0.7500  0.0000  0.6064
Hg  0.2500  0.3936  0.0000
Hg  0.2500  0.6064  0.6064
Hg  0.2500  0.0000  0.3936

=====

Record 11
Compound: Nd6MgHg
Source: Alexandria via LeMat-Bulk
Functional: PBE-GGA
Structure: optimized geometry

Summary:
DOS(E_F) in states/eV per atom: 1.15
Total magnetic moment in μB per cell: 0.0
Formation energy in eV/atom: -0.130
Total DFT energy (no corrections) in eV/atom: -3.943

Cell lengths 5.2705, 5.2705, 9.9347 Å; angles 74.62, 74.62, 90.00 degrees
Sites, in units of the cell vectors:
Nd  0.7486  0.7485  0.5029
Nd  0.6122  0.1122  0.7756
Nd  0.1122  0.6122  0.7756
Nd  0.3878  0.8878  0.2244
Nd  0.2514  0.2515  0.4971
Nd  0.8878  0.3878  0.2244
Mg  0.5000  0.5000  0.0000
Hg  0.0000  0.0000  0.0000

=====

Record 12
Compound: Nd2MgHg2
Source: Alexandria via LeMat-Bulk
Functional: PBE-GGA
Structure: optimized geometry

Summary:
DOS(E_F) in states/eV per atom: 0.99
Total magnetic moment in μB per cell: 0.0
Formation energy in eV/atom: -0.261
Total DFT energy (no corrections) in eV/atom: -2.608

Cell lengths 6.2640, 7.5059, 7.9697 Å; angles 118.09, 113.14, 90.00 degrees
Sites, in units of the cell vectors:
Nd  0.8346  0.6558  0.6693
Nd  0.1654  0.3442  0.3307
Nd  0.6654  0.9865  0.3307
Nd  0.3346  0.0135  0.6693
Mg  0.7500  0.5000  0.0000
Mg  0.2500  0.5000  0.0000
Hg  0.4068  0.6839  0.8135
Hg  0.5932  0.3161  0.1865
Hg  0.0932  0.8704  0.1865
Hg  0.9068  0.1296  0.8135

=====

Record 13
Compound: NdMg2Hg
Source: Alexandria via LeMat-Bulk
Functional: PBE-GGA
Structure: optimized geometry

Summary:
DOS(E_F) in states/eV per atom: 0.98
Total magnetic moment in μB per cell: 0.0
Formation energy in eV/atom: 0.106
Total DFT energy (no corrections) in eV/atom: -1.959

Cell lengths 3.3155, 3.3155, 11.4652 Å; angles 81.69, 81.69, 60.00 degrees
Sites, in units of the cell vectors:
Mg  0.0973  0.0973  0.7080
Mg  0.9027  0.9027  0.2920
Nd  0.0000  0.0000  0.0000
Hg  0.5000  0.5000  0.5000

=====

Record 14
Compound: Nd2Mg3Hg4
Source: Alexandria via LeMat-Bulk
Functional: PBE-GGA
Structure: optimized geometry

Summary:
DOS(E_F) in states/eV per atom: 0.83
Total magnetic moment in μB per cell: 0.0
Formation energy in eV/atom: -0.340
Total DFT energy (no corrections) in eV/atom: -2.065

Cell lengths 6.5676, 8.0350, 9.0626 Å; angles 90.00, 111.24, 90.00 degrees
Sites, in units of the cell vectors:
Nd  0.1070  0.5874  0.2140
Nd  0.8930  0.4126  0.7860
Nd  0.3930  0.0874  0.7860
Nd  0.6070  0.9126  0.2140
Mg  0.0000  0.0000  0.0000
Mg  0.5000  0.5000  0.0000
Mg  0.5224  0.7500  0.5448
Mg  0.9776  0.2500  0.4552
Mg  0.4776  0.2500  0.4552
Mg  0.0224  0.7500  0.5448
Hg  0.6946  0.7500  0.8892
Hg  0.8054  0.2500  0.1108
Hg  0.3054  0.2500  0.1108
Hg  0.1946  0.7500  0.8892
Hg  0.1730  0.9658  0.3461
Hg  0.8270  0.0342  0.6539
Hg  0.3270  0.4658  0.6539
Hg  0.6730  0.5342  0.3461

=====

Record 15
Compound: Nd4MgHg2
Source: Alexandria via LeMat-Bulk
Functional: PBE-GGA
Structure: optimized geometry

Summary:
DOS(E_F) in states/eV per atom: 1.22
Total magnetic moment in μB per cell: 1.1
Formation energy in eV/atom: -0.223
Total DFT energy (no corrections) in eV/atom: -3.262

Cell lengths 5.3722, 5.3722, 9.0322 Å; angles 72.70, 72.70, 60.00 degrees
Last column: magnetic moment on the atom in μB.
Sites, in units of the cell vectors:
Nd  0.8665  0.8665  0.4006  0.23
Nd  0.1335  0.1335  0.5994  0.23
Nd  0.6113  0.6113  0.1660  0.06
Nd  0.3887  0.3887  0.8340  0.06
Mg  0.0000  0.0000  0.0000  0.00
Hg  0.7387  0.7387  0.7840  0.01
Hg  0.2613  0.2613  0.2160  0.01

=====

Record 16
Compound: Nd2Mg6Hg3
Source: Alexandria via LeMat-Bulk
Functional: PBE-GGA
Structure: optimized geometry

Summary:
DOS(E_F) in states/eV per atom: 0.60
Total magnetic moment in μB per cell: 0.0
Formation energy in eV/atom: -0.217
Total DFT energy (no corrections) in eV/atom: -2.036

Cell lengths 4.4448, 8.5261, 8.5261 Å; angles 120.00, 90.00, 90.00 degrees
Sites, in units of the cell vectors:
Nd  0.0000  0.6667  0.3333
Nd  0.0000  0.3333  0.6667
Mg  0.5000  0.7173  0.7173
Mg  0.5000  0.0000  0.2827
Mg  0.0000  0.2033  0.2033
Mg  0.0000  0.7967  0.0000
Mg  0.5000  0.2827  0.0000
Mg  0.0000  0.0000  0.7967
Hg  0.5000  0.3971  0.3971
Hg  0.5000  0.6029  0.0000
Hg  0.5000  0.0000  0.6029

=====

Record 17
Compound: NdMg11Hg
Source: Alexandria via LeMat-Bulk
Functional: PBE-GGA
Structure: optimized geometry

Summary:
DOS(E_F) in states/eV per atom: 0.42
Total magnetic moment in μB per cell: 0.0
Formation energy in eV/atom: -0.098
Total DFT energy (no corrections) in eV/atom: -1.837

Cell lengths 5.9353, 7.7315, 7.7871 Å; angles 81.88, 67.60, 68.23 degrees
Sites, in units of the cell vectors:
Nd  0.0000  0.0000  0.0000
Mg  0.2893  0.2152  0.2108
Mg  0.7107  0.7848  0.7892
Mg  0.4999  0.7848  0.2108
Mg  0.5001  0.2152  0.7892
Mg  0.3508  0.6467  0.6521
Mg  0.6492  0.3533  0.3479
Mg  0.9971  0.3533  0.6521
Mg  0.0029  0.6467  0.3479
Mg  0.0000  0.5000  0.0000
Mg  0.5000  0.0000  0.5000
Mg  0.0000  0.0000  0.5000
Hg  0.5000  0.5000  0.0000

=====

Record 18
Compound: Nd3Mg2Hg6
Source: Alexandria via LeMat-Bulk
Functional: PBE-GGA
Structure: optimized geometry

Summary:
DOS(E_F) in states/eV per atom: 0.93
Total magnetic moment in μB per cell: 0.0
Formation energy in eV/atom: -0.289
Total DFT energy (no corrections) in eV/atom: -2.044

Cell lengths 4.6097, 4.6097, 14.0206 Å; angles 99.46, 99.46, 90.00 degrees
Sites, in units of the cell vectors:
Nd  0.0000  0.0000  0.0000
Nd  0.8022  0.8022  0.6043
Nd  0.1978  0.1978  0.3957
Mg  0.4494  0.4494  0.8988
Mg  0.5506  0.5506  0.1012
Hg  0.1073  0.6073  0.2147
Hg  0.6073  0.1073  0.2147
Hg  0.8927  0.3927  0.7853
Hg  0.3927  0.8927  0.7853
Hg  0.6866  0.6866  0.3732
Hg  0.3134  0.3134  0.6268

=====

Record 19
Compound: Nd5MgHg4
Source: Alexandria via LeMat-Bulk
Functional: PBE-GGA
Structure: optimized geometry

Summary:
DOS(E_F) in states/eV per atom: 1.15
Total magnetic moment in μB per cell: 1.8
Formation energy in eV/atom: -0.399
Total DFT energy (no corrections) in eV/atom: -3.063

Cell lengths 3.8572, 3.8572, 19.0954 Å; angles 90.00, 90.00, 90.00 degrees
Last column: magnetic moment on the atom in μB.
Sites, in units of the cell vectors:
Nd  0.5000  0.5000  0.1019  0.07
Nd  0.5000  0.5000  0.3013  0.23
Nd  0.5000  0.5000  0.5000  0.23
Nd  0.5000  0.5000  0.6987  0.23
Nd  0.5000  0.5000  0.8981  0.07
Mg  0.0000  0.0000  0.0000  0.00
Hg  0.0000  0.0000  0.1974  0.02
Hg  0.0000  0.0000  0.4002  0.02
Hg  0.0000  0.0000  0.5998  0.02
Hg  0.0000  0.0000  0.8026  0.02

=====

Record 20
Compound: NdMg5Hg6
Source: Alexandria via LeMat-Bulk
Functional: PBE-GGA
Structure: optimized geometry

Summary:
DOS(E_F) in states/eV per atom: 0.43
Total magnetic moment in μB per cell: 0.0
Formation energy in eV/atom: -0.282
Total DFT energy (no corrections) in eV/atom: -1.495

Cell lengths 4.9313, 7.8159, 7.4347 Å; angles 90.00, 90.00, 71.61 degrees
Sites, in units of the cell vectors:
Mg  0.6673  0.6653  0.5000
Mg  0.3305  0.3390  0.0000
Mg  0.0000  0.0000  0.5000
Mg  0.6695  0.6610  0.0000
Mg  0.3327  0.3347  0.5000
Nd  0.0000  0.0000  0.0000
Hg  0.8278  0.3446  0.2550
Hg  0.8277  0.3446  0.7450
Hg  0.5000  0.0000  0.7293
Hg  0.5000  0.0000  0.2707
Hg  0.1723  0.6554  0.2550
Hg  0.1722  0.6554  0.7450

=====

Record 21
Compound: Nd6MgHg
Source: Alexandria via LeMat-Bulk
Functional: PBE-GGA
Structure: optimized geometry

Summary:
DOS(E_F) in states/eV per atom: 1.15
Total magnetic moment in μB per cell: 0.0
Formation energy in eV/atom: -0.055
Total DFT energy (no corrections) in eV/atom: -3.868

Cell lengths 8.7723, 9.2401, 6.3690 Å; angles 43.53, 46.51, 58.31 degrees
Sites, in units of the cell vectors:
Nd  0.9708  0.5459  0.7288
Nd  0.7546  0.9714  0.8194
Nd  0.5464  0.2456  0.2357
Nd  0.2454  0.0286  0.1806
Nd  0.0292  0.4541  0.2712
Nd  0.4536  0.7544  0.7643
Mg  0.5000  0.5000  0.5000
Hg  0.0000  0.0000  0.0000

=====

Record 22
Compound: Nd12Mg2Hg5
Source: Alexandria via LeMat-Bulk
Functional: PBE-GGA
Structure: optimized geometry

Summary:
DOS(E_F) in states/eV per atom: 1.16
Total magnetic moment in μB per cell: 0.0
Formation energy in eV/atom: -0.177
Total DFT energy (no corrections) in eV/atom: -3.435

Cell lengths 10.2115, 8.5345, 8.4720 Å; angles 82.53, 90.00, 126.74 degrees
Sites, in units of the cell vectors:
Nd  0.8949  0.7898  0.1575
Nd  0.0343  0.7060  0.8101
Nd  0.6717  0.7060  0.8101
Nd  0.1730  0.7627  0.3712
Nd  0.5897  0.7627  0.3712
Nd  0.4015  0.8031  0.6912
Nd  0.5985  0.1969  0.3088
Nd  0.8270  0.2373  0.6288
Nd  0.4103  0.2373  0.6288
Nd  0.9657  0.2940  0.1899
Nd  0.3283  0.2940  0.1899
Nd  0.1051  0.2102  0.8425
Mg  0.6619  0.0000  0.0000
Mg  0.3381  0.0000  0.0000
Hg  0.2164  0.4329  0.4833
Hg  0.3252  0.6505  0.0617
Hg  0.0000  0.0000  0.5000
Hg  0.6748  0.3495  0.9383
Hg  0.7836  0.5671  0.5167